Entry 1:
The following is a PBE calculation of a geometry-optimized BeTlSe2 structure, from Alexandria via LeMat-Bulk.

Computed properties:
The total magnetization comes out at 0.0 Bohr magnetons per cell. The density is 6.45 g cm⁻³. The calculation puts the density of states at the Fermi level at 3.076 states/eV per cell. The value obtained for the offset from the most stable computed form is 178.4 meV per atom. The uncorrected formation energy comes out at -232 meV per atom.

```
data_BeTlSe2
_chemical_formula_sum 'Be2 Tl2 Se4'
_cell_length_a 7.9087
_cell_length_b 3.4680
_cell_length_c 7.7900
_cell_angle_alpha 90.00
_cell_angle_beta 116.58
_cell_angle_gamma 90.00
_space_group_name_H-M_alt 'C 1 2/m 1'
_space_group_IT_number 12
loop_
_space_group_symop_operation_xyz
'x,y,z'
'-x,-y,-z'
'-x,y,-z'
'x,-y,z'
'x+1/2,y+1/2,z'
'-x+1/2,-y+1/2,-z'
'-x+1/2,y+1/2,-z'
'x+1/2,-y+1/2,z'
loop_
_atom_site_label
_atom_site_fract_x
_atom_site_fract_y
_atom_site_fract_z
_atom_site_occupancy
Be1 0.0000 0.0000 0.0000 1
Tl1 0.0000 0.5000 0.5000 1
Se1 0.1718 0.5000 0.1894 1
```


Entry 2:
The following is a PBE calculation of a geometry-optimized NdCu2SeO2 structure, from Alexandria via LeMat-Bulk.

Computed properties:
The total magnetization comes out at 0.0 Bohr magnetons per cell. The density is 6.37 g cm⁻³. The calculation puts the density of states at the Fermi level at 10.252 states/eV per cell. The value obtained for the offset from the most stable computed form is 0.0 meV per atom. The uncorrected formation energy comes out at -1199 meV per atom.

```
data_NdCu2SeO2
_chemical_formula_sum 'Nd2 Cu4 Se2 O4'
_cell_length_a 5.9682
_cell_length_b 5.5860
_cell_length_c 6.6698
_cell_angle_alpha 90.00
_cell_angle_beta 116.37
_cell_angle_gamma 90.00
_space_group_name_H-M_alt 'P 1 21/m 1'
_space_group_IT_number 11
loop_
_space_group_symop_operation_xyz
'x,y,z'
'-x,-y,-z'
'-x,y+1/2,-z'
'x,-y+1/2,z'
loop_
_atom_site_label
_atom_site_fract_x
_atom_site_fract_y
_atom_site_fract_z
_atom_site_occupancy
Nd1 0.1089 0.2500 0.2157 1
Cu1 0.1704 0.2500 0.7770 1
Cu2 0.3928 0.7500 0.2189 1
Se1 0.2582 0.7500 0.5132 1
O1 0.2321 0.0000 0.9981 1
```


Entry 3:
The following is a PBE calculation of a geometry-optimized Pu3Mn2Ga4 structure, from Alexandria via LeMat-Bulk.

Computed properties:
The total magnetization comes out at 2.0 Bohr magnetons per cell. The density is 11.05 g cm⁻³. The formation energy comes out at -136.7 meV per atom. The calculation puts the density of states at the Fermi level at 67.974 states/eV per cell.

```
data_Pu3Mn2Ga4
_chemical_formula_sum 'Pu12 Mn8 Ga16'
_cell_length_a 13.2172
_cell_length_b 9.7199
_cell_length_c 5.5120
_cell_angle_alpha 90.00
_cell_angle_beta 107.96
_cell_angle_gamma 90.00
_space_group_name_H-M_alt 'C 1 2/c 1'
_space_group_IT_number 15
loop_
_space_group_symop_operation_xyz
'x,y,z'
'-x,-y,-z'
'-x,y,-z+1/2'
'x,-y,z+1/2'
'x+1/2,y+1/2,z'
'-x+1/2,-y+1/2,-z'
'-x+1/2,y+1/2,-z+1/2'
'x+1/2,-y+1/2,z+1/2'
loop_
_atom_site_label
_atom_site_fract_x
_atom_site_fract_y
_atom_site_fract_z
_atom_site_occupancy
Pu1 0.0000 0.0214 0.2500 1
Pu2 0.1070 0.4107 0.1710 1
Mn1 0.2313 0.1213 0.5848 1
Ga1 0.0836 0.2672 0.6484 1
Ga2 0.2085 0.1361 0.0926 1
```


Entry 4:
The following is a PBE calculation of a geometry-optimized TlVPt3 structure, from Alexandria via LeMat-Bulk.

Computed properties:
The total magnetization comes out at 3.2 Bohr magnetons per cell. The density is 11.17 g cm⁻³. The formation energy comes out at 1458.7 meV per atom. The calculation puts the density of states at the Fermi level at 11.601 states/eV per cell.

```
data_TlVPt3
_chemical_formula_sum 'Tl1 V1 Pt3'
_cell_length_a 4.9999
_cell_length_b 4.9999
_cell_length_c 4.9999
_cell_angle_alpha 90.00
_cell_angle_beta 90.00
_cell_angle_gamma 90.00
_space_group_name_H-M_alt 'P m -3 m'
_space_group_IT_number 221
_space_group_name_Hall '-P 4 2 3'
loop_
_atom_site_label
_atom_site_fract_x
_atom_site_fract_y
_atom_site_fract_z
_atom_site_occupancy
Tl1 0.0000 0.0000 0.0000 1
V1 0.5000 0.5000 0.5000 1
Pt1 0.0000 0.0000 0.5000 1
```


Entry 5:
The following is a PBE calculation of a geometry-optimized Sr2Ca2Sb2H structure, from Alexandria via LeMat-Bulk.

Computed properties:
The calculation puts the raw total energy at -3.61 eV per atom. The total magnetization comes out at 0.0 Bohr magnetons per cell. The density is 4.09 g cm⁻³. The calculation puts the density of states at the Fermi level at 4.767 states/eV per cell.

```
data_Sr2Ca2Sb2H
_chemical_formula_sum 'Sr4 Ca4 Sb4 H2'
_cell_length_a 4.8292
_cell_length_b 4.8292
_cell_length_c 17.4142
_cell_angle_alpha 90.00
_cell_angle_beta 90.00
_cell_angle_gamma 90.00
_space_group_name_H-M_alt 'I 4/m m m'
_space_group_IT_number 139
_space_group_name_Hall '-I 4 2'
loop_
_atom_site_label
_atom_site_fract_x
_atom_site_fract_y
_atom_site_fract_z
_atom_site_occupancy
Sr1 0.0000 0.0000 0.1751 1
Ca1 0.0000 0.5000 0.0000 1
Sb1 0.0000 0.0000 0.3707 1
H1 0.0000 0.0000 0.0000 1
```


Entry 6:
The following is a PBE calculation of a geometry-optimized In2FeIr structure, from Alexandria via LeMat-Bulk.

Computed properties:
The total magnetization comes out at 5.5 Bohr magnetons per cell. The density is 11.14 g cm⁻³. The formation energy comes out at 130.0 meV per atom. The calculation puts the density of states at the Fermi level at 4.087 states/eV per cell.

```
data_In2FeIr
_chemical_formula_sum 'In4 Fe2 Ir2'
_cell_length_a 4.3313
_cell_length_b 3.1690
_cell_length_c 10.3791
_cell_angle_alpha 90.00
_cell_angle_beta 90.00
_cell_angle_gamma 90.00
_space_group_name_H-M_alt 'A m m 2'
_space_group_IT_number 38
loop_
_space_group_symop_operation_xyz
'x,y,z'
'-x,-y,z'
'-x,y,z'
'x,-y,z'
'x,y+1/2,z+1/2'
'-x,-y+1/2,z+1/2'
'-x,y+1/2,z+1/2'
'x,-y+1/2,z+1/2'
loop_
_atom_site_label
_atom_site_fract_x
_atom_site_fract_y
_atom_site_fract_z
_atom_site_occupancy
In1 0.0000 0.0000 0.0000 1
In2 0.5000 0.0000 0.3244 1
Fe1 0.0000 0.0000 0.7273 1
Ir1 0.5000 0.0000 0.5988 1
```


Entry 7:
The following is a PBE calculation of a geometry-optimized SmBe2Pd5Au structure, from Alexandria via LeMat-Bulk.

Computed properties:
The total magnetization comes out at 0.0 Bohr magnetons per cell. The density is 10.36 g cm⁻³. The formation energy comes out at -438.4 meV per atom. The calculation puts the density of states at the Fermi level at 2.337 states/eV per cell.

```
data_SmBe2Pd5Au
_chemical_formula_sum 'Sm1 Be2 Pd5 Au1'
_cell_length_a 4.4451
_cell_length_b 4.4451
_cell_length_c 7.2797
_cell_angle_alpha 90.00
_cell_angle_beta 90.00
_cell_angle_gamma 90.00
_space_group_name_H-M_alt 'P 4/m m m'
_space_group_IT_number 123
_space_group_name_Hall '-P 4 2'
loop_
_atom_site_label
_atom_site_fract_x
_atom_site_fract_y
_atom_site_fract_z
_atom_site_occupancy
Sm1 0.0000 0.0000 0.0000 1
Be1 0.5000 0.5000 0.3322 1
Pd1 0.0000 0.5000 0.2721 1
Pd2 0.5000 0.5000 0.0000 1
Au1 0.0000 0.0000 0.5000 1
```


Entry 8:
The following is a PBE calculation of a geometry-optimized Tm2AlPd structure, from Alexandria via LeMat-Bulk.

Computed properties:
The total magnetization comes out at 0.0 Bohr magnetons per cell. The density is 9.05 g cm⁻³. The formation energy comes out at -672.6 meV per atom. The calculation puts the density of states at the Fermi level at 1.962 states/eV per cell. The value obtained for the offset from the most stable computed form is 0.0 meV per atom.

```
data_Tm2AlPd
_chemical_formula_sum 'Tm2 Al1 Pd1'
_cell_length_a 3.5273
_cell_length_b 3.5273
_cell_length_c 6.9529
_cell_angle_alpha 90.00
_cell_angle_beta 90.00
_cell_angle_gamma 90.00
_space_group_name_H-M_alt 'P 4/m m m'
_space_group_IT_number 123
_space_group_name_Hall '-P 4 2'
loop_
_atom_site_label
_atom_site_fract_x
_atom_site_fract_y
_atom_site_fract_z
_atom_site_occupancy
Tm1 0.0000 0.0000 0.2396 1
Al1 0.5000 0.5000 0.5000 1
Pd1 0.5000 0.5000 0.0000 1
```


Entry 9:
The following is a PBE calculation of a geometry-optimized Ba3Li2Tl4Cd2 structure, from Alexandria via LeMat-Bulk.

Computed properties:
The total magnetization comes out at 0.0 Bohr magnetons per cell. The density is 6.97 g cm⁻³. The formation energy comes out at -258.4 meV per atom. The calculation puts the density of states at the Fermi level at 6.740 states/eV per cell.

```
data_Ba3Li2Tl4Cd2
_chemical_formula_sum 'Ba3 Li2 Tl4 Cd2'
_cell_length_a 5.3995
_cell_length_b 5.3995
_cell_length_c 13.8490
_cell_angle_alpha 90.00
_cell_angle_beta 90.00
_cell_angle_gamma 120.00
_space_group_name_H-M_alt 'P -3 m 1'
_space_group_IT_number 164
_space_group_name_Hall '-P 3 2"'
loop_
_atom_site_label
_atom_site_fract_x
_atom_site_fract_y
_atom_site_fract_z
_atom_site_occupancy
Ba1 0.0000 0.0000 0.0000 1
Ba2 0.0000 0.0000 0.3031 1
Li1 0.3333 0.6667 0.6169 1
Tl1 0.3333 0.6667 0.4257 1
Tl2 0.3333 0.6667 0.8369 1
Cd1 0.3333 0.6667 0.1620 1
```


Entry 10:
The following is a PBE calculation of a geometry-optimized TmGa2Sn3 structure, from Alexandria via LeMat-Bulk.

Computed properties:
The total magnetization comes out at 0.0 Bohr magnetons per cell. The density is 7.33 g cm⁻³. The formation energy comes out at -200.2 meV per atom. The calculation puts the density of states at the Fermi level at 5.267 states/eV per cell.

```
data_TmGa2Sn3
_chemical_formula_sum 'Tm2 Ga4 Sn6'
_cell_length_a 4.3808
_cell_length_b 11.8098
_cell_length_c 5.8229
_cell_angle_alpha 90.00
_cell_angle_beta 90.00
_cell_angle_gamma 90.00
_space_group_name_H-M_alt 'P m c 21'
_space_group_IT_number 26
loop_
_space_group_symop_operation_xyz
'x,y,z'
'-x,-y,z+1/2'
'-x,y,z'
'x,-y,z+1/2'
loop_
_atom_site_label
_atom_site_fract_x
_atom_site_fract_y
_atom_site_fract_z
_atom_site_occupancy
Tm1 0.0000 0.1245 0.0000 1
Ga1 0.0000 0.1948 0.4969 1
Ga2 0.5000 0.4689 0.5004 1
Sn1 0.0000 0.3797 0.8176 1
Sn2 0.5000 0.0540 0.6410 1
Sn3 0.5000 0.2932 0.1802 1
```